(P)
{
  "formula": "RuSCl2F",
  "functional": "PBE",
  "state": "relaxed",
  "lattice_angstrom": [[5.294, 0.000, 0.000], [0.000, 5.294, 0.000], [0.000, 0.000, 3.611]],
  "species": ["Cl", "Cl", "S", "Ru", "F"],
  "fractional_positions": [[0.000, 0.500, 0.000], [0.500, 0.000, 0.000], [0.000, 0.000, 0.500], [0.500, 0.500, 0.500], [0.000, 0.000, 0.000]],
  "crystal_system": "tetragonal",
  "sg": "P4/mmm, No. 123",
  "dos_ef_per_ev_atom": 0.708
}

(Q)
{
  "formula": "RuSCl2F",
  "functional": "PBE",
  "state": "relaxed",
  "lattice_angstrom": [[4.786, 0.000, 0.000], [0.000, 4.786, 0.000], [0.000, 0.000, 4.407]],
  "species": ["Ru", "F", "Cl", "Cl", "S"],
  "fractional_positions": [[0.000, 0.000, 0.000], [0.500, 0.500, 0.500], [0.500, 0.000, 0.000], [0.000, 0.500, 0.000], [0.000, 0.000, 0.500]],
  "crystal_system": "tetragonal",
  "sg": "P4/mmm, No. 123",
  "dos_ef_per_ev_atom": 1.564
}

Top of the stability list: (Q), leading by 760 meV per atom.

(P)
{
  "formula": "RuS2ClF",
  "functional": "PBE",
  "state": "relaxed",
  "lattice_angstrom": [[-0.924, 1.667, -3.655], [-4.013, -0.541, 0.768], [-0.223, 4.942, 2.311]],
  "species": ["S", "S", "Cl", "F", "Ru"],
  "fractional_positions": [[0.000, 0.500, 0.000], [0.500, 0.000, 0.000], [0.000, 0.000, 0.500], [0.000, 0.000, 0.000], [0.500, 0.500, 0.500]],
  "crystal_system": "tetragonal",
  "sg": "P4/mmm, No. 123",
  "dos_ef_per_ev_atom": 1.063
}

(Q)
{
  "formula": "RuS2ClF",
  "functional": "PBE",
  "state": "relaxed",
  "lattice_angstrom": [[4.491, 0.000, 0.000], [0.000, 4.491, 0.000], [0.000, 0.000, 4.867]],
  "species": ["Cl", "F", "S", "S", "Ru"],
  "fractional_positions": [[0.000, 0.000, 0.500], [0.500, 0.500, 0.500], [0.000, 0.500, 0.000], [0.500, 0.000, 0.000], [0.000, 0.000, 0.000]],
  "crystal_system": "tetragonal",
  "sg": "P4/mmm, No. 123",
  "dos_ef_per_ev_atom": 1.152
}

Top of the stability list: (Q), leading by 811 meV per atom.

(P)
{
  "formula": "Zn2RuClF",
  "functional": "PBE",
  "state": "relaxed",
  "lattice_angstrom": [[-0.509, -3.023, -3.357], [-0.392, -3.269, 3.003], [-4.499, 0.638, 0.107]],
  "species": ["Cl", "F", "Ru", "Zn", "Zn"],
  "fractional_positions": [[0.500, 0.500, 0.500], [0.000, 0.000, 0.000], [0.000, 0.500, 0.000], [0.500, 0.000, 0.000], [0.000, 0.000, 0.500]],
  "crystal_system": "tetragonal",
  "sg": "P4/mmm, No. 123",
  "dos_ef_per_ev_atom": 0.351
}

(Q)
{
  "formula": "Zn2RuClF",
  "functional": "PBE",
  "state": "relaxed",
  "lattice_angstrom": [[-1.431, -0.992, -4.636], [-2.196, -3.447, 1.416], [-4.020, 2.823, 0.637]],
  "species": ["F", "Zn", "Zn", "Ru", "Cl"],
  "fractional_positions": [[0.500, 0.500, 0.500], [0.000, 0.000, 0.500], [0.500, 0.000, 0.000], [0.000, 0.000, 0.000], [0.000, 0.500, 0.000]],
  "crystal_system": "tetragonal",
  "sg": "P4/mmm, No. 123",
  "dos_ef_per_ev_atom": 0.508
}

Top of the stability list: (Q), leading by 354 meV per atom.

(P)
{
  "formula": "SbSCl2F",
  "functional": "PBE",
  "state": "relaxed",
  "lattice_angstrom": [[-2.728, -4.330, 0.309], [3.084, -1.676, 3.738], [-3.105, 2.210, 3.552]],
  "species": ["Sb", "S", "Cl", "Cl", "F"],
  "fractional_positions": [[0.000, 0.000, 0.000], [0.000, 0.000, 0.500], [0.500, 0.000, 0.000], [0.000, 0.500, 0.000], [0.500, 0.500, 0.500]],
  "crystal_system": "tetragonal",
  "sg": "P4/mmm, No. 123",
  "dos_ef_per_ev_atom": 1.232
}

(Q)
{
  "formula": "SbSCl2F",
  "functional": "PBE",
  "state": "relaxed",
  "lattice_angstrom": [[5.407, 0.000, 0.000], [0.000, 5.407, 0.000], [0.000, 0.000, 3.644]],
  "species": ["S", "Sb", "Cl", "Cl", "F"],
  "fractional_positions": [[0.000, 0.000, 0.500], [0.500, 0.500, 0.500], [0.000, 0.500, 0.000], [0.500, 0.000, 0.000], [0.000, 0.000, 0.000]],
  "crystal_system": "tetragonal",
  "sg": "P4/mmm, No. 123",
  "dos_ef_per_ev_atom": 0.899
}

Top of the stability list: (P), leading by 247 meV per atom.

(P)
{
  "formula": "SeSCl2F",
  "functional": "PBE",
  "state": "relaxed",
  "lattice_angstrom": [[5.482, 0.000, 0.000], [0.000, 5.482, 0.000], [0.000, 0.000, 3.598]],
  "species": ["Cl", "Cl", "F", "Se", "S"],
  "fractional_positions": [[0.500, 0.000, 0.000], [0.000, 0.500, 0.000], [0.000, 0.000, 0.000], [0.500, 0.500, 0.500], [0.000, 0.000, 0.500]],
  "crystal_system": "tetragonal",
  "sg": "P4/mmm, No. 123",
  "dos_ef_per_ev_atom": 0.829
}

(Q)
{
  "formula": "SeSCl2F",
  "functional": "PBE",
  "state": "relaxed",
  "lattice_angstrom": [[4.848, 0.000, 0.000], [0.000, 4.848, 0.000], [0.000, 0.000, 5.049]],
  "species": ["Cl", "Cl", "Se", "F", "S"],
  "fractional_positions": [[0.000, 0.500, 0.000], [0.500, 0.000, 0.000], [0.000, 0.000, 0.000], [0.500, 0.500, 0.500], [0.000, 0.000, 0.500]],
  "crystal_system": "tetragonal",
  "sg": "P4/mmm, No. 123",
  "dos_ef_per_ev_atom": 1.013
}

Top of the stability list: (Q), leading by 326 meV per atom.

(P)
{
  "formula": "SiSCl2F",
  "functional": "PBE",
  "state": "relaxed",
  "lattice_angstrom": [[0.000, 1.285, -5.194], [-2.690, -4.490, -1.111], [-3.143, 1.774, 0.439]],
  "species": ["S", "F", "Cl", "Cl", "Si"],
  "fractional_positions": [[0.000, 0.000, 0.500], [0.000, 0.000, 0.000], [0.500, 0.000, 0.000], [0.000, 0.500, 0.000], [0.500, 0.500, 0.500]],
  "crystal_system": "tetragonal",
  "sg": "P4/mmm, No. 123",
  "dos_ef_per_ev_atom": 0.549
}

(Q)
{
  "formula": "SiSCl2F",
  "functional": "PBE",
  "state": "relaxed",
  "lattice_angstrom": [[4.567, 0.000, 0.000], [0.000, 4.567, 0.000], [0.000, 0.000, 4.505]],
  "species": ["S", "Si", "F", "Cl", "Cl"],
  "fractional_positions": [[0.000, 0.000, 0.500], [0.000, 0.000, 0.000], [0.500, 0.500, 0.500], [0.000, 0.500, 0.000], [0.500, 0.000, 0.000]],
  "crystal_system": "tetragonal",
  "sg": "P4/mmm, No. 123",
  "dos_ef_per_ev_atom": 1.569
}

Top of the stability list: (Q), leading by 489 meV per atom.